(1)
## Nb2Hg2Ir (meta-GGA SCAN)

Data for Nb2Hg2Ir at its PBEsol-relaxed geometry.

* magnetic moment: 0.000 μB per cell
* formation energy from the elements: 0.54 eV per atom
* volume: 200.72 Å³ per cell

Cell: 3.7215 3.7215 14.4925 Å, 90.00 90.00 90.00°
With the nearest neighbours (Å) after each atom.
Space group I4/mmm (No. 139)
Symmetry-distinct sites (fractional):
Nb: 0.0000 0.0000 0.0805 [4 per cell]  1 Nb 2.33
Hg: 0.0000 0.5000 0.2500 [4 per cell]  4 Hg 2.63
Ir: 0.0000 0.0000 0.5000 [2 per cell]  8 Nb 2.88


(2)
## NiHg2Ir (meta-GGA SCAN)

Data for NiHg2Ir at its PBEsol-relaxed geometry.

* magnetic moment: 2.001 μB per cell
* formation energy from the elements: 0.56 eV per atom
* volume: 127.92 Å³ per cell
* energy above the lowest structure with this stoichiometry: 100.0 meV/atom

Cell: 3.9982 3.9982 8.0020 Å, 90.00 90.00 90.00°
With the nearest neighbours (Å) after each atom.
Space group I-4m2 (No. 119)
Symmetry-distinct sites (fractional):
Ni: 0.0000 0.0000 0.0000 [2 per cell]  8 Hg 2.83, 4 Ir 2.83
Hg: 0.0000 0.0000 0.5000 [2 per cell]  4 Ni 2.83, 4 Hg 2.83, 4 Ir 2.83
Hg: 0.0000 0.5000 0.2500 [2 per cell]  4 Ir 2.83, 4 Hg 2.83, 4 Ni 2.83
Ir: 0.0000 0.5000 0.7500 [2 per cell]  8 Hg 2.83, 4 Ni 2.83